No. 1
The following is a DFT calculation (GGA-PBE) of an optimized crystal structure of SmHo2Er4Tm.

Properties
Magnetic moment: 0.00 μB/cell

Lattice parameters (Å, degrees): 4.9773 4.9757 11.1431 63.50 90.00 90.00
Positions (direct):
Sm 0.5000 0.5000 0.0000
Ho 0.0000 0.0000 0.0000
Ho 0.5000 0.0000 0.5000
Er 0.0000 0.7528 0.7479
Er 0.0000 0.2472 0.2521
Er 0.5000 0.7471 0.2522
Er 0.5000 0.2529 0.7478
Tm 0.0000 0.5000 0.5000



No. 2
The following is a DFT calculation (GGA-PBE) of an optimized crystal structure of SmHo6ErTm2.

Properties
Magnetic moment: 0.00 μB/cell

Lattice parameters (Å, degrees): 9.4328 8.7121 8.7121 117.59 93.49 93.49
Positions (direct):
Sm 0.2500 0.9738 0.0262
Sm 0.7500 0.0262 0.9738
Ho 0.0565 0.1231 0.7526
Ho 0.4435 0.2474 0.8769
Ho 0.9435 0.8769 0.2474
Ho 0.5565 0.7526 0.1231
Ho 0.3169 0.9832 0.4348
Ho 0.1831 0.5652 0.0168
Ho 0.6831 0.0168 0.5652
Ho 0.8169 0.4348 0.9832
Ho 0.1180 0.7085 0.4910
Ho 0.3820 0.5090 0.2915
Ho 0.8820 0.2915 0.5090
Ho 0.6180 0.4910 0.7085
Er 0.2500 0.4098 0.5902
Er 0.7500 0.5902 0.4098
Tm 0.4534 0.8010 0.6952
Tm 0.0466 0.3048 0.1990
Tm 0.5466 0.1990 0.3048
Tm 0.9534 0.6952 0.8010



No. 3
The following is a DFT calculation (GGA-PBE) of an optimized crystal structure of Sm6Ho2Er3Tm.

Properties
Magnetic moment: 0.00 μB/cell

Lattice parameters (Å, degrees): 6.1902 6.1902 11.7400 95.03 95.03 119.98
Positions (direct):
Sm 0.9166 0.5835 0.7499
Sm 0.7503 0.7503 0.2503
Sm 0.0834 0.4165 0.2501
Sm 0.5835 0.9166 0.7499
Sm 0.2497 0.2497 0.7497
Sm 0.4165 0.0834 0.2501
Ho 0.3334 0.6666 0.0000
Ho 0.6666 0.3334 0.0000
Er 0.1666 0.8334 0.5000
Er 0.8334 0.1666 0.5000
Er 0.5000 0.5000 0.5000
Tm 0.0000 0.0000 0.0000



No. 4
The following is a DFT calculation (GGA-PBE) of an optimized crystal structure of Sm2Ho3ErTm6.

Properties
Magnetic moment: 0.00 μB/cell

Lattice parameters (Å, degrees): 6.0966 6.0966 11.6451 95.00 95.00 119.95
Positions (direct):
Sm 0.3334 0.6666 0.0000
Sm 0.6666 0.3334 0.0000
Ho 0.1665 0.8335 0.5000
Ho 0.8335 0.1665 0.5000
Ho 0.5000 0.5000 0.5000
Er 0.0000 0.0000 0.0000
Tm 0.9158 0.5830 0.7484
Tm 0.7515 0.7515 0.2518
Tm 0.0842 0.4170 0.2516
Tm 0.5830 0.9158 0.7484
Tm 0.2485 0.2485 0.7482
Tm 0.4170 0.0842 0.2516



No. 5
The following is a DFT calculation (GGA-PBE) of an optimized crystal structure of SmHoErTm2.

Properties
Magnetic moment: 0.00 μB/cell

Lattice parameters (Å, degrees): 7.1512 8.3043 7.0313 126.19 90.00 90.00
Positions (direct):
Sm 0.2500 0.7267 0.4533
Sm 0.7500 0.2733 0.5467
Ho 0.2500 0.0004 0.0008
Ho 0.7500 0.9996 0.9992
Er 0.7500 0.7208 0.4416
Er 0.2500 0.2792 0.5584
Tm 0.5000 0.3106 0.0000
Tm 0.0000 0.6894 0.0000
Tm 0.5000 0.6894 0.0000
Tm 0.0000 0.3106 0.0000



No. 6
The following is a DFT calculation (GGA-PBE) of an optimized crystal structure of Sm2HoErTm.

Properties
Magnetic moment: 0.00 μB/cell

Lattice parameters (Å, degrees): 7.2300 8.3741 7.0720 126.30 90.00 90.00
Positions (direct):
Sm 0.5000 0.3063 0.0000
Sm 0.0000 0.6937 0.0000
Sm 0.5000 0.6937 0.0000
Sm 0.0000 0.3063 0.0000
Ho 0.7500 0.7267 0.4534
Ho 0.2500 0.2733 0.5466
Er 0.2500 0.7252 0.4503
Er 0.7500 0.2748 0.5497
Tm 0.2500 0.9993 0.9985
Tm 0.7500 0.0007 0.0015



No. 7
The following is a DFT calculation (GGA-PBE) of an optimized crystal structure of SmHoEr4Tm2.

Properties
Magnetic moment: 6.63 μB/cell

Lattice parameters (Å, degrees): 9.4285 9.4285 11.6515 128.16 128.16 88.98
Last column: magnetic moment on the atom in μB.
Positions (direct):
Sm 0.0000 0.5000 0.0000  0.30
Sm 0.0000 0.5000 0.5000  0.30
Ho 0.5000 0.5000 0.5000  0.34
Ho 0.0000 0.0000 0.0000  0.34
Er 0.2528 0.7502 0.0015  0.33
Er 0.7498 0.2472 0.4985  0.33
Er 0.2502 0.7528 0.5015  0.33
Er 0.7473 0.2498 0.9985  0.33
Er 0.7472 0.7527 0.0011  0.34
Er 0.7473 0.7528 0.4989  0.34
Er 0.2527 0.2472 0.5011  0.34
Er 0.2528 0.2473 0.9989  0.34
Tm 0.5000 0.0000 0.0000  0.29
Tm 0.5000 0.0000 0.5000  0.29
Tm 0.0000 0.0000 0.5000  0.32
Tm 0.5000 0.5000 0.0000  0.32



No. 8
The following is a DFT calculation (GGA-PBE) of an optimized crystal structure of Sm2Ho5ErTm.

Properties
Magnetic moment: 0.00 μB/cell

Lattice parameters (Å, degrees): 8.5172 8.5172 9.9025 115.47 115.47 90.00
Positions (direct):
Sm 0.1180 0.3820 0.0000
Sm 0.6180 0.1180 0.0000
Sm 0.3820 0.8820 0.0000
Sm 0.8820 0.6180 0.0000
Ho 0.9277 0.4277 0.2813
Ho 0.6464 0.1464 0.7187
Ho 0.0723 0.5723 0.7187
Ho 0.1464 0.0723 0.7187
Ho 0.5723 0.6464 0.7187
Ho 0.8536 0.9277 0.2813
Ho 0.4277 0.3536 0.2813
Ho 0.3536 0.8536 0.2813
Ho 0.5000 0.5000 0.0000
Ho 0.0000 0.0000 0.0000
Er 0.2500 0.7500 0.5000
Er 0.7500 0.2500 0.5000
Tm 0.2500 0.2500 0.5000
Tm 0.7500 0.7500 0.5000



No. 9
The following is a DFT calculation (GGA-PBE) of an optimized crystal structure of Sm3Ho2ErTm6.

Properties
Magnetic moment: 0.00 μB/cell

Lattice parameters (Å, degrees): 6.1170 6.1170 11.6551 95.01 95.01 119.96
Positions (direct):
Sm 0.1667 0.8333 0.5000
Sm 0.8333 0.1667 0.5000
Sm 0.5000 0.5000 0.5000
Ho 0.3335 0.6665 0.0000
Ho 0.6665 0.3335 0.0000
Er 0.0000 0.0000 0.0000
Tm 0.9176 0.5843 0.7529
Tm 0.7492 0.7492 0.2473
Tm 0.0824 0.4157 0.2471
Tm 0.5843 0.9176 0.7529
Tm 0.2508 0.2508 0.7527
Tm 0.4157 0.0824 0.2471



No. 10
The following is a DFT calculation (GGA-PBE) of an optimized crystal structure of Sm3Ho6Er2Tm.

Properties
Magnetic moment: 0.00 μB/cell

Lattice parameters (Å, degrees): 6.1373 6.1373 11.7291 94.99 94.99 119.96
Positions (direct):
Sm 0.1667 0.8333 0.5000
Sm 0.8333 0.1667 0.5000
Sm 0.5000 0.5000 0.5000
Ho 0.9180 0.5847 0.7536
Ho 0.7489 0.7489 0.2466
Ho 0.0820 0.4153 0.2464
Ho 0.5847 0.9180 0.7536
Ho 0.2511 0.2511 0.7534
Ho 0.4153 0.0820 0.2464
Er 0.3334 0.6666 0.0000
Er 0.6666 0.3334 0.0000
Tm 0.0000 0.0000 0.0000



No. 11
The following is a DFT calculation (GGA-PBE) of an optimized crystal structure of Sm2Ho4ErTm2.

Properties
Magnetic moment: 0.00 μB/cell

Lattice parameters (Å, degrees): 3.5721 9.4389 9.4770 115.30 90.00 100.91
Positions (direct):
Sm 0.8520 0.7040 0.3336
Sm 0.1480 0.2960 0.6664
Ho 0.8153 0.6306 0.6676
Ho 0.1847 0.3694 0.3324
Ho 0.5185 0.0370 0.3306
Ho 0.4815 0.9630 0.6694
Er 0.0000 0.0000 0.0000
Tm 0.3335 0.6670 0.9984
Tm 0.6665 0.3330 0.0016



No. 12
The following is a DFT calculation (GGA-PBE) of an optimized crystal structure of SmHoEr6Tm2.

Properties
Magnetic moment: 0.00 μB/cell

Lattice parameters (Å, degrees): 9.4140 8.6905 8.6905 117.60 93.49 93.49
Positions (direct):
Sm 0.2500 0.9738 0.0262
Sm 0.7500 0.0262 0.9738
Ho 0.2500 0.4096 0.5904
Ho 0.7500 0.5904 0.4096
Er 0.0569 0.1236 0.7519
Er 0.4431 0.2481 0.8764
Er 0.9431 0.8764 0.2481
Er 0.5569 0.7519 0.1236
Er 0.3175 0.9815 0.4338
Er 0.1825 0.5662 0.0185
Er 0.6825 0.0185 0.5662
Er 0.8175 0.4338 0.9815
Er 0.1179 0.7088 0.4915
Er 0.3821 0.5085 0.2912
Er 0.8821 0.2912 0.5085
Er 0.6179 0.4915 0.7088
Tm 0.4535 0.8019 0.6955
Tm 0.0465 0.3045 0.1981
Tm 0.5465 0.1981 0.3045
Tm 0.9535 0.6955 0.8019



No. 13
The following is a DFT calculation (GGA-PBE) of an optimized crystal structure of Sm6HoEr2Tm.

Properties
Magnetic moment: 0.00 μB/cell

Lattice parameters (Å, degrees): 9.5400 8.8543 8.8543 117.69 93.74 93.74
Positions (direct):
Sm 0.0543 0.1194 0.7608
Sm 0.4457 0.2392 0.8806
Sm 0.9457 0.8806 0.2392
Sm 0.5543 0.7608 0.1194
Sm 0.3134 0.9887 0.4355
Sm 0.1866 0.5645 0.0113
Sm 0.6866 0.0113 0.5645
Sm 0.8134 0.4355 0.9887
Sm 0.1182 0.7087 0.4910
Sm 0.3818 0.5090 0.2913
Sm 0.8818 0.2913 0.5090
Sm 0.6182 0.4910 0.7087
Ho 0.2500 0.9731 0.0269
Ho 0.7500 0.0269 0.9731
Er 0.4542 0.7991 0.6991
Er 0.0458 0.3009 0.2009
Er 0.5458 0.2009 0.3009
Er 0.9542 0.6991 0.7991
Tm 0.2500 0.4107 0.5893
Tm 0.7500 0.5893 0.4107



No. 14
The following is a DFT calculation (GGA-PBE) of an optimized crystal structure of Sm4HoErTm2.

Properties
Magnetic moment: 0.00 μB/cell

Lattice parameters (Å, degrees): 3.5713 6.1809 11.7518 79.84 90.00 90.00
Positions (direct):
Sm 0.0000 0.7506 0.7495
Sm 0.0000 0.2494 0.2505
Sm 0.5000 0.7498 0.2497
Sm 0.5000 0.2502 0.7503
Ho 0.5000 0.5000 0.0000
Er 0.0000 0.5000 0.5000
Tm 0.0000 0.0000 0.0000
Tm 0.5000 0.0000 0.5000



No. 15
The following is a DFT calculation (GGA-PBE) of an optimized crystal structure of Sm3HoEr2Tm6.

Properties
Magnetic moment: 0.00 μB/cell

Lattice parameters (Å, degrees): 6.1151 6.1151 11.6499 95.01 95.01 119.96
Positions (direct):
Sm 0.1667 0.8333 0.5000
Sm 0.8333 0.1667 0.5000
Sm 0.5000 0.5000 0.5000
Ho 0.0000 0.0000 0.0000
Er 0.3334 0.6666 0.0000
Er 0.6666 0.3334 0.0000
Tm 0.9178 0.5844 0.7531
Tm 0.7489 0.7489 0.2470
Tm 0.0822 0.4156 0.2469
Tm 0.5844 0.9178 0.7531
Tm 0.2511 0.2511 0.7530
Tm 0.4156 0.0822 0.2469



No. 16
The following is a DFT calculation (GGA-PBE) of an optimized crystal structure of SmHo2ErTm5.

Properties
Magnetic moment: 0.00 μB/cell

Lattice parameters (Å, degrees): 8.8949 8.8949 9.5414 117.78 117.78 90.00
Positions (direct):
Sm 0.2500 0.2500 0.5000
Sm 0.7500 0.7500 0.5000
Ho 0.1119 0.3881 0.0000
Ho 0.6119 0.1119 0.0000
Ho 0.3881 0.8881 0.0000
Ho 0.8881 0.6119 0.0000
Er 0.2500 0.7500 0.5000
Er 0.7500 0.2500 0.5000
Tm 0.9266 0.4266 0.2628
Tm 0.6638 0.1638 0.7372
Tm 0.0734 0.5734 0.7372
Tm 0.1638 0.0734 0.7372
Tm 0.5734 0.6638 0.7372
Tm 0.8362 0.9266 0.2628
Tm 0.4266 0.3362 0.2628
Tm 0.3362 0.8362 0.2628
Tm 0.5000 0.5000 0.0000
Tm 0.0000 0.0000 0.0000



No. 17
The following is a DFT calculation (GGA-PBE) of an optimized crystal structure of Sm6Ho3Er2Tm.

Properties
Magnetic moment: 0.00 μB/cell

Lattice parameters (Å, degrees): 6.1928 6.1928 11.7497 95.02 95.02 119.98
Positions (direct):
Sm 0.9165 0.5834 0.7508
Sm 0.7503 0.7503 0.2494
Sm 0.0835 0.4166 0.2492
Sm 0.5834 0.9165 0.7508
Sm 0.2497 0.2497 0.7506
Sm 0.4166 0.0835 0.2492
Ho 0.1667 0.8333 0.5000
Ho 0.8333 0.1667 0.5000
Ho 0.5000 0.5000 0.5000
Er 0.3334 0.6666 0.0000
Er 0.6666 0.3334 0.0000
Tm 0.0000 0.0000 0.0000



No. 18
The following is a DFT calculation (GGA-PBE) of an optimized crystal structure of Sm5HoEr2Tm.

Properties
Magnetic moment: 0.00 μB/cell

Lattice parameters (Å, degrees): 5.5941 10.4448 10.6252 90.00 90.00 105.53
Positions (direct):
Sm 0.3863 0.7725 0.0215
Sm 0.7197 0.4393 0.8112
Sm 0.4823 0.9647 0.7426
Sm 0.2990 0.5979 0.7073
Sm 0.9833 0.9666 0.5187
Sm 0.6137 0.2275 0.5215
Sm 0.2803 0.5607 0.3112
Sm 0.5177 0.0353 0.2426
Sm 0.7010 0.4021 0.2073
Sm 0.0167 0.0334 0.0187
Ho 0.8011 0.6021 0.5109
Ho 0.1989 0.3979 0.0109
Er 0.8861 0.7721 0.8111
Er 0.1114 0.2228 0.7389
Er 0.1139 0.2279 0.3111
Er 0.8886 0.7772 0.2389
Tm 0.5908 0.1816 0.9618
Tm 0.4092 0.8184 0.4618



No. 19
The following is a DFT calculation (GGA-PBE) of an optimized crystal structure of Sm4Ho2ErTm.

Properties
Magnetic moment: 0.00 μB/cell

Lattice parameters (Å, degrees): 3.5746 6.1848 11.7734 79.85 90.00 90.00
Positions (direct):
Sm 0.0000 0.7505 0.7501
Sm 0.0000 0.2495 0.2499
Sm 0.5000 0.7491 0.2507
Sm 0.5000 0.2509 0.7493
Ho 0.0000 0.0000 0.0000
Ho 0.5000 0.0000 0.5000
Er 0.5000 0.5000 0.0000
Tm 0.0000 0.5000 0.5000



Calculated total DFT energy (no corrections) in order - -4.55 -4.45 -4.62 -4.52 -4.17 -4.19 -4.11 -4.31 -4.54 -4.58 -4.57 -4.44 -4.53 -4.60 -4.53 -4.23 -4.62 -4.49 -4.62 eV/atom